# 1
VASP calculation (PBE) on a relaxed structure of TaBe2Mo2.

Calculated values
Total energy   -8.47 eV/atom

The structure in POSCAR format:
```
TaBe2Mo2
1.0
-2.0823 0.0034 -5.9714
-5.9406 -0.6420 2.0713
-0.3115 3.2383 0.1104
Ta Mo Be
2 4 4
Direct
0.0000 0.0000 0.0000
0.5000 0.5000 0.0000
0.1769 0.6769 0.5000
0.6769 0.8231 0.5000
0.8231 0.3231 0.5000
0.3231 0.1769 0.5000
0.3851 0.8851 0.0000
0.1149 0.3851 0.0000
0.8851 0.6149 0.0000
0.6149 0.1149 0.0000
```



# 2
VASP calculation (PBE) on a relaxed structure of TaBeMo.

Calculated values
Energy above the lowest structure with this stoichiometry   0.833 eV/atom

The structure in POSCAR format:
```
TaBeMo
1.0
0.0000 2.9966 2.9966
2.9966 0.0000 2.9966
2.9966 2.9966 0.0000
Ta Mo Be
1 1 1
Direct
0.0000 0.0000 0.0000
0.7500 0.7500 0.7500
0.2500 0.2500 0.2500
```



# 3
VASP calculation (PBE) on a relaxed structure of Ta2Be2Mo.

Calculated values
Total energy   -8.66 eV/atom

The structure in POSCAR format:
```
Ta2Be2Mo
1.0
-2.4990 -4.5644 -3.7110
5.6599 -0.7667 -2.8684
0.8328 -2.2896 2.2553
Ta Mo Be
4 2 4
Direct
0.8197 0.3197 0.5000
0.6803 0.8197 0.5000
0.3197 0.1803 0.5000
0.1803 0.6803 0.5000
0.0000 0.0000 0.0000
0.5000 0.5000 0.0000
0.1153 0.3847 0.0000
0.8847 0.6153 0.0000
0.6153 0.1153 0.0000
0.3847 0.8847 0.0000
```